This record from OQMD describes a relaxed structure of Lu2Pt2O5. The functional is PBE.

Output
Raw total energy: -6.65 eV/atom

Lattice parameters (Å, degrees): 8.786 3.705 3.705 90.00 90.00 90.00
Site moments in Bohr magnetons follow the coordinates.
Sites, in units of the cell vectors:
O: 0.138 0.000 0.500  0.01
O: 0.862 0.500 0.000  0.01
O: 0.138 0.500 0.000  0.01
O: 0.862 0.000 0.500  0.01
O: 0.500 0.500 0.500  0.00
Lu: 0.740 0.500 0.500  0.01
Lu: 0.260 0.500 0.500  0.01
Pt: 0.000 0.000 0.000  0.11
Pt: 0.500 0.000 0.000  -0.01

=====

This record from OQMD describes a relaxed structure of ScInNiMo. The functional is PBE.

Output
Raw total energy: -6.24 eV/atom

Lattice parameters (Å, degrees): 4.596 4.596 4.596 60.00 60.00 60.00
Sites, in units of the cell vectors:
Ni: 0.750 0.750 0.750
Sc: 0.500 0.500 0.500
Mo: 0.250 0.250 0.250
In: 0.000 0.000 0.000

=====

This record from OQMD describes a relaxed structure of ErInSe. The functional is PBE.

Output
Raw total energy: -4.10 eV/atom

Lattice parameters (Å, degrees): 8.913 8.913 3.963 90.00 90.00 120.00
Sites, in units of the cell vectors:
Se: 0.519 0.519 0.500
Se: 0.481 0.000 0.500
Se: 0.000 0.481 0.500
In: 0.000 0.000 0.500
In: 0.333 0.667 0.000
In: 0.667 0.333 0.000
Er: 0.736 0.736 0.000
Er: 0.000 0.264 0.000
Er: 0.264 0.000 0.000

=====

This record from OQMD describes a relaxed structure of DyY4Lu2Ni2Te2. The functional is PBE.

Output
Raw total energy: -5.85 eV/atom

Lattice parameters (Å, degrees): 9.326 9.326 9.326 156.25 67.17 118.21
Sites, in units of the cell vectors:
Dy: 0.976 0.476 0.500
Te: 0.241 0.241 0.000
Te: 0.643 0.143 0.500
Y: 0.527 0.896 0.631
Y: 0.282 0.097 0.185
Y: 0.912 0.097 0.815
Y: 0.265 0.896 0.369
Ni: 0.666 0.402 0.263
Ni: 0.139 0.402 0.737
Lu: 0.601 0.748 0.853
Lu: 0.895 0.748 0.147

=====

This record from OQMD describes a relaxed structure of LuFe4P2. The functional is PBE.

Output
Raw total energy: -7.65 eV/atom

Lattice parameters (Å, degrees): 6.945 6.945 3.585 90.00 90.00 90.00
Site moments in Bohr magnetons follow the coordinates.
Sites, in units of the cell vectors:
P: 0.780 0.780 0.500  -0.03
P: 0.720 0.280 0.000  -0.04
P: 0.280 0.720 0.000  -0.04
P: 0.220 0.220 0.500  -0.03
Fe: 0.918 0.343 0.500  0.93
Fe: 0.657 0.082 0.500  0.89
Fe: 0.418 0.157 0.000  0.89
Fe: 0.582 0.843 0.000  0.89
Fe: 0.157 0.418 0.000  0.84
Fe: 0.843 0.582 0.000  0.84
Fe: 0.343 0.918 0.500  0.89
Fe: 0.082 0.657 0.500  0.93
Lu: 0.500 0.500 0.500  -0.12
Lu: 0.000 0.000 0.000  -0.12

=====

This record from OQMD describes a relaxed structure of AlCuNiIr. The functional is PBE.

Output
Raw total energy: -5.79 eV/atom

Lattice parameters (Å, degrees): 4.167 4.167 4.167 60.00 60.00 60.00
Sites, in units of the cell vectors:
Cu: 0.750 0.750 0.750
Al: 0.000 0.000 0.000
Ni: 0.500 0.500 0.500
Ir: 0.250 0.250 0.250

=====

This record from OQMD describes a relaxed structure of Zr2HgO4. The functional is PBE.

Output
Raw total energy: -7.64 eV/atom

Lattice parameters (Å, degrees): 6.773 6.773 6.773 119.99 90.02 119.99
Sites, in units of the cell vectors:
O: 0.206 0.804 0.402
O: 0.598 0.196 0.402
O: 0.544 0.696 0.848
O: 0.152 0.304 0.848
O: 0.598 0.196 0.794
O: 0.152 0.696 0.848
O: 0.598 0.804 0.402
O: 0.152 0.304 0.456
Hg: 0.750 0.500 0.250
Hg: 0.000 0.000 0.000
Zr: 0.375 0.750 0.625
Zr: 0.375 0.750 0.125
Zr: 0.875 0.250 0.625
Zr: 0.375 0.250 0.625

=====

This record from OQMD describes a relaxed structure of La2TbSn3Pb4. The functional is PBE.

Output
Raw total energy: -4.63 eV/atom

Lattice parameters (Å, degrees): 13.254 13.254 4.722 90.00 90.00 159.48
Sites, in units of the cell vectors:
Sn: 0.092 0.908 0.500
Sn: 0.500 0.500 0.500
Sn: 0.908 0.092 0.500
La: 0.816 0.184 0.000
La: 0.184 0.816 0.000
Pb: 0.293 0.707 0.500
Pb: 0.593 0.407 0.000
Pb: 0.407 0.593 0.000
Pb: 0.707 0.293 0.500
Tb: 0.000 0.000 0.000

=====

Q: raw total energy of number 6 (AlCuNiIr)?
A: -5.79 eV/atom